1.
A relaxed TlIrSe3 crystal. Source: Alexandria, functional PBE-GGA.

Cell: 5.014 5.014 5.014 Å, 90.00 90.00 90.00°
Atoms (fractional coordinates):
Se1 0.000 0.500 0.000
Tl1 0.500 0.500 0.500
Ir1 0.000 0.000 0.000
Se2 0.000 0.000 0.500
Se3 0.500 0.000 0.000

Calculated values
N(E_F) = 8.33 states/eV/cell
Relative energy among the computed polymorphs = 0.0 meV/atom
Uncorrected formation energy = 0.251 eV/atom
Space group = Pm-3m

---

2.
A relaxed YZrBr crystal. Source: Alexandria, functional PBE-GGA.

Cell: 3.561 3.561 7.074 Å, 90.00 90.00 120.00°
Atoms (fractional coordinates):
Y1 0.333 0.667 0.338
Zr1 0.667 0.333 0.683
Br1 0.000 0.000 0.979

Calculated values
N(E_F) = 1.38 states/eV/cell
Relative energy among the computed polymorphs = 159.5 meV/atom
Uncorrected formation energy = -0.503 eV/atom
Space group = P3m1

---

3.
A relaxed Li2Pm5Cu12 crystal. Source: Alexandria, functional PBE-GGA.

Cell: 6.663 6.756 8.330 Å, 66.08 87.62 90.00°
Atoms (fractional coordinates):
Cu1 0.348 0.784 0.804
Li1 0.000 0.723 0.000
Cu2 0.244 0.676 0.272
Cu3 0.244 0.051 0.272
Pm1 0.500 0.000 0.000
Pm2 0.570 0.757 0.487
Li2 0.000 0.277 0.000
Cu4 0.665 0.552 0.897
Cu5 0.756 0.949 0.728
Pm3 0.430 0.243 0.513
Cu6 0.908 0.886 0.227
Cu7 0.756 0.324 0.728
Pm4 0.951 0.302 0.396
Cu8 0.092 0.114 0.773
Pm5 0.049 0.698 0.604
Cu9 0.348 0.412 0.804
Cu10 0.652 0.216 0.196
Cu11 0.335 0.448 0.103
Cu12 0.652 0.588 0.196

Calculated values
N(E_F) = 11.56 states/eV/cell
ΔE_f = -96 meV/atom
Space group = C2/m

---

4.
A relaxed Cs3PmTl2O6 crystal. Source: Alexandria, functional PBE-GGA.

Cell: 6.743 6.743 7.984 Å, 90.00 90.00 120.00°
Atoms (fractional coordinates):
Cs1 0.667 0.333 0.242
Tl1 0.333 0.667 0.312
O1 0.309 0.155 0.693
O2 0.845 0.155 0.693
O3 0.691 0.845 0.307
O4 0.155 0.845 0.307
Pm1 0.000 0.000 0.500
Cs2 0.333 0.667 0.758
O5 0.155 0.309 0.307
Tl2 0.667 0.333 0.688
O6 0.845 0.691 0.693
Cs3 0.000 0.000 0.000

Calculated values
Uncorrected formation energy = -1.389 eV/atom
Space group = P-3m1

---

5.
A relaxed PrTl2Au crystal. Source: Alexandria, functional PBE-GGA.

Cell: 3.566 3.566 11.089 Å, 80.75 80.75 60.00°
Atoms (fractional coordinates):
Tl1 0.100 0.100 0.700
Tl2 0.900 0.900 0.300
Pr1 0.000 0.000 0.000
Au1 0.500 0.500 0.500

Calculated values
N(E_F) = 3.59 states/eV/cell
Relative energy among the computed polymorphs = 531.4 meV/atom
ΔE_f = 91 meV/atom
Space group = R-3m

---

6.
A relaxed NiBr2 crystal. Source: Alexandria, functional PBE-GGA.

Cell: 4.957 4.957 3.340 Å, 90.00 90.00 120.00°
Atoms (fractional coordinates):
Br1 0.333 0.667 0.500
Ni1 0.000 0.000 0.000
Br2 0.667 0.333 0.500

Calculated values
N(E_F) = 9.74 states/eV/cell
Uncorrected formation energy = 1.040 eV/atom
Space group = P6/mmm

---

7.
A relaxed NaGaPC crystal. Source: Alexandria, functional PBE-GGA.

Cell: 3.319 2.872 14.905 Å, 90.00 90.00 90.00°
Atoms (fractional coordinates):
Na1 0.000 0.000 0.826
P1 0.500 0.500 0.493
C1 0.500 0.000 0.429
Ga1 0.500 0.500 0.657
Na2 0.000 0.500 0.326
Ga2 0.500 0.000 0.157
C2 0.500 0.500 0.929
P2 0.500 0.000 0.993

Calculated values
N(E_F) = 2.44 states/eV/cell
Relative energy among the computed polymorphs = 109.6 meV/atom
ΔE_f = 296 meV/atom
Space group = Amm2

---

8.
A relaxed PmNi2Ge crystal. Source: Alexandria, functional PBE-GGA.

Cell: 4.103 4.103 5.367 Å, 67.53 67.53 60.00°
Atoms (fractional coordinates):
Pm1 0.000 0.000 0.000
Ge1 0.500 0.500 0.500
Ni1 0.800 0.800 0.599
Ni2 0.200 0.200 0.401

Calculated values
N(E_F) = 3.12 states/eV/cell
ΔE_f = -549 meV/atom
Space group = R-3m

---

9.
A relaxed Pr2CCl3 crystal. Source: Alexandria, functional PBE-GGA.

Cell: 4.174 9.105 9.148 Å, 72.37 76.81 76.75°
Atoms (fractional coordinates):
Pr1 0.123 0.509 0.246
C1 0.466 0.485 0.583
Cl1 0.031 0.140 0.798
Pr2 0.603 0.213 0.580
Cl2 0.331 0.352 0.985
Pr3 0.877 0.491 0.754
Cl3 0.969 0.860 0.202
Cl4 0.232 0.163 0.374
C2 0.534 0.515 0.417
Cl5 0.669 0.648 0.015
Pr4 0.397 0.787 0.420
Cl6 0.768 0.837 0.626

Calculated values
N(E_F) = 3.23 states/eV/cell
Uncorrected formation energy = -1.565 eV/atom
Space group = C2/m

---

10.
A relaxed LiAcPa crystal. Source: Alexandria, functional PBE-GGA.

Cell: 3.769 3.769 13.442 Å, 105.81 105.81 89.48°
Atoms (fractional coordinates):
Li1 0.035 0.035 0.297
Ac1 0.637 0.637 0.883
Pa1 0.662 0.662 0.444
Li2 0.965 0.965 0.703
Ac2 0.363 0.363 0.117
Pa2 0.338 0.338 0.556

Calculated values
N(E_F) = 9.50 states/eV/cell
ΔE_f = 284 meV/atom
Space group = C2/m

---

11.
A relaxed CrCuPdAu crystal. Source: Alexandria, functional PBE-GGA.

Cell: 4.412 4.412 4.412 Å, 60.00 60.00 60.00°
Atoms (fractional coordinates):
Cr1 0.750 0.750 0.750
Au1 0.500 0.500 0.500
Pd1 0.000 0.000 0.000
Cu1 0.250 0.250 0.250

Calculated values
N(E_F) = 3.06 states/eV/cell
ΔE_f = 36 meV/atom
Space group = F-43m

---

12.
A relaxed K2Eu crystal. Source: Alexandria, functional PBE-GGA.

Cell: 4.148 4.148 11.017 Å, 100.85 100.85 90.00°
Atoms (fractional coordinates):
Eu1 0.000 0.000 0.000
K1 0.340 0.340 0.680
K2 0.660 0.660 0.320

Calculated values
N(E_F) = 2.53 states/eV/cell
Relative energy among the computed polymorphs = 0.0 meV/atom
ΔE_f = 160 meV/atom
Space group = I4/mmm

---

The records above yield final energy values of -20.43, -18.19, -78.55, -58.46, -12.43, -6.01, -17.80, -23.13, -33.71, -14.66, -22.05, -11.99 eV per formula unit, respectively.
The records above yield size of the total moment values of 0.0, 0.0, 0.0, 0.0, 0.0, 1.0, 0.0, 0.0, 0.0, 0.0, 3.8, 7.7 μB per cell, respectively.